# 1
The following is a DFT calculation (GGA-PBE) of a relaxed TmSi3Ir3 crystal.

Calculated values
**Magnetic moment**: 0.0 μB per formula unit
**Space-group type**: R-3 (148)
**Relative energy among the computed polymorphs**: 0 meV per atom
**Formation energy without anion corrections**: -0.6356 eV/atom
**Electronic total energy**: -7.396 eV per atom

Cell lengths 7.489, 7.489, 7.489 Å; angles 54.30, 54.30, 54.30 degrees
Fractional coordinates of all 14 atoms:
Tm (0.166, 0.166, 0.166)
Tm (0.834, 0.834, 0.834)
Si (0.120, 0.407, 0.700)
Si (0.300, 0.880, 0.593)
Si (0.407, 0.700, 0.120)
Si (0.593, 0.300, 0.880)
Si (0.700, 0.120, 0.407)
Si (0.880, 0.593, 0.300)
Ir (0.023, 0.746, 0.389)
Ir (0.254, 0.611, 0.977)
Ir (0.389, 0.023, 0.746)
Ir (0.611, 0.977, 0.254)
Ir (0.746, 0.389, 0.023)
Ir (0.977, 0.254, 0.611)

# 2
The following is a DFT calculation (GGA-PBE) of a relaxed CaFeGe2Os crystal.

Calculated values
**Magnetic moment**: 2.0 μB per formula unit
**Space-group type**: I-4m2 (119)
**Electronic total energy**: -6.476 eV per atom

Cell lengths 6.098, 6.098, 6.098 Å; angles 141.19, 141.19, 56.05 degrees
Fractional coordinates of all 5 atoms:
Ca (0.000, 0.000, 0.000)
Fe (0.750, 0.250, 0.500)
Ge (0.377, 0.377, 0.000)
Ge (0.623, 0.623, 0.000)
Os (0.250, 0.750, 0.500)